[1]
Here is a relaxed NaHg3Pd4 crystal from the Alexandria database. Energies are from PBE.

a = 4.3782 Å, b = 4.3783 Å, c = 8.1237 Å
α = 105.73°, β = 105.63°, γ = 90.00°
Closest atoms and distances in Å follow each position.
Positions (direct):
Na  0.5000  0.0000  0.0000  8 Pd 2.90-2.91, 4 Hg 3.10
Hg  0.0000  0.5000  0.0000  8 Pd 2.90-2.91, 4 Na 3.10
Hg  0.7488  0.2488  0.4977  8 Pd 2.85-2.88, 4 Hg 3.10
Hg  0.2512  0.7512  0.5023  8 Pd 2.85-2.88, 4 Hg 3.10
Pd  0.3728  0.3729  0.7456  6 Hg 2.85-2.91, 2 Na 2.90-2.91, 4 Pd 3.10
Pd  0.6272  0.6271  0.2544  6 Hg 2.85-2.91, 2 Na 2.90-2.91, 4 Pd 3.10
Pd  0.1272  0.1273  0.2544  6 Hg 2.85-2.91, 2 Na 2.91, 4 Pd 3.10
Pd  0.8728  0.8727  0.7456  6 Hg 2.85-2.91, 2 Na 2.91, 4 Pd 3.10

Computed properties:
Its formation energy is -0.181 eV/atom. As for the volume: 18.0 Å³ per atom.


[2]
Here is a relaxed Na16Hg12Pd crystal from the Alexandria database. Energies are from PBE.

a = 9.8788 Å, b = 9.8788 Å, c = 10.0357 Å
α = 109.08°, β = 109.08°, γ = 108.06°
Closest atoms and distances in Å follow each position.
Positions (direct):
Na  0.3934  0.3934  0.3120  1 Pd 3.04, 2 Hg 3.23
Na  0.0087  0.0087  0.0202  10 Hg 3.40-3.74, 4 Na 3.47-3.74
Na  0.9805  0.9805  0.6578  1 Pd 3.11, 4 Na 3.22-3.47, 4 Hg 3.28-3.35
Na  0.2908  0.2908  0.7012  5 Hg 3.24-3.42, 7 Na 3.38-3.47
Na  0.6604  0.4324  0.0270  4 Hg 3.10-3.45, 3 Na 3.22-3.47, 1 Pd 3.33
Na  0.5764  0.2847  0.5857  5 Hg 3.17-3.45, 4 Na 3.39-3.49
Na  0.0007  0.6902  0.4139  1 Pd 3.02, 4 Hg 3.11-3.36, 2 Na 3.22-3.36
Na  0.9908  0.6460  0.9995  4 Na 3.31-3.47, 7 Hg 3.33-3.66
Na  0.7127  0.3250  0.3030  5 Hg 3.12-3.41, 4 Na 3.22-3.45, 1 Pd 3.48
Na  0.4038  0.9889  0.6792  5 Hg 3.18-3.37, 5 Na 3.31-3.51
Na  0.9889  0.4038  0.6792  5 Hg 3.18-3.37, 5 Na 3.31-3.51
Na  0.3250  0.7127  0.3030  5 Hg 3.12-3.41, 4 Na 3.22-3.45, 1 Pd 3.48
Na  0.6460  0.9908  0.9995  4 Na 3.31-3.47, 7 Hg 3.33-3.66
Na  0.6902  0.0007  0.4139  1 Pd 3.02, 4 Hg 3.11-3.36, 2 Na 3.22-3.36
Na  0.2847  0.5764  0.5857  5 Hg 3.17-3.45, 4 Na 3.39-3.49
Na  0.4324  0.6604  0.0270  4 Hg 3.10-3.45, 3 Na 3.22-3.47, 1 Pd 3.33
Hg  0.8124  0.8124  0.1987  1 Pd 2.82, 1 Hg 3.08, 2 Na 3.15
Hg  0.6324  0.6324  0.8293  3 Hg 3.08-3.15, 7 Na 3.23-3.42
Hg  0.3506  0.1630  0.9713  3 Hg 3.00-3.12, 5 Na 3.10-3.35
Hg  0.8128  0.6186  0.6215  1 Pd 2.87, 3 Hg 3.05-3.15, 1 Na 3.12
Hg  0.1970  0.9996  0.3649  3 Hg 2.98-3.18, 3 Na 3.21-3.29
Hg  0.3860  0.9988  0.1868  3 Hg 2.98-3.17, 2 Na 3.11-3.29
Hg  0.1822  0.7855  0.8083  3 Hg 3.05-3.17, 5 Na 3.17-3.41
Hg  0.7855  0.1822  0.8083  3 Hg 3.05-3.17, 5 Na 3.17-3.41
Hg  0.9988  0.3860  0.1868  3 Hg 2.98-3.17, 2 Na 3.11-3.29
Hg  0.9996  0.1970  0.3649  3 Hg 2.98-3.18, 3 Na 3.21-3.29
Hg  0.6186  0.8128  0.6215  1 Pd 2.87, 3 Hg 3.05-3.15, 1 Na 3.12
Hg  0.1630  0.3506  0.9713  3 Hg 3.00-3.12, 5 Na 3.10-3.35
Pd  0.6758  0.6758  0.3589  3 Hg 2.82-2.87, 4 Na 3.02-3.11

Computed properties:
Its formation energy is -0.198 eV/atom. As for the volume: 26.7 Å³ per atom.


[3]
Here is a relaxed Na3Hg4Pd4 crystal from the Alexandria database. Energies are from PBE.

a = 7.1589 Å, b = 7.1589 Å, c = 7.1589 Å
α = 109.47°, β = 109.47°, γ = 109.47°
Closest atoms and distances in Å follow each position.
Positions (direct):
Na  0.5000  0.5000  0.0000  4 Hg 3.41, 4 Pd 3.45
Na  0.5000  0.0000  0.5000  4 Hg 3.41, 4 Pd 3.45
Na  0.0000  0.5000  0.5000  4 Hg 3.41, 4 Pd 3.45
Hg  0.0000  0.6008  0.0000  4 Pd 2.61-2.79
Hg  0.6008  0.0000  0.0000  4 Pd 2.61-2.79
Hg  0.0000  0.0000  0.6008  4 Pd 2.61-2.79
Hg  0.3992  0.3992  0.3992  4 Pd 2.61-2.79
Pd  0.0000  0.2358  0.0000  4 Hg 2.61-2.79, 3 Pd 2.76
Pd  0.0000  0.0000  0.2358  4 Hg 2.61-2.79, 3 Pd 2.76
Pd  0.2358  0.0000  0.0000  4 Hg 2.61-2.79, 3 Pd 2.76
Pd  0.7642  0.7642  0.7642  4 Hg 2.61-2.79, 3 Pd 2.76

Computed properties:
Its formation energy is -0.189 eV/atom. The offset from the most stable computed form is 0 meV/atom. As for the volume: 25.7 Å³ per atom.


[4]
Here is a relaxed NaHg2Pd crystal from the Alexandria database. Energies are from PBE.

a = 4.2773 Å, b = 5.7939 Å, c = 7.8845 Å
α = 90.00°, β = 90.00°, γ = 111.66°
Closest atoms and distances in Å follow each position.
Positions (direct):
Na  0.9366  0.8731  0.2500  3 Pd 3.11-3.12, 8 Hg 3.28-3.41
Na  0.0634  0.1269  0.7500  3 Pd 3.11-3.12, 8 Hg 3.28-3.41
Hg  0.3648  0.7296  0.5496  3 Pd 2.80-2.83, 1 Hg 3.01
Hg  0.6352  0.2704  0.4504  3 Pd 2.80-2.83, 1 Hg 3.01
Hg  0.6352  0.2704  0.0496  3 Pd 2.80-2.83, 1 Hg 3.01
Hg  0.3648  0.7296  0.9504  3 Pd 2.80-2.83, 1 Hg 3.01
Pd  0.2255  0.4509  0.2500  6 Hg 2.80-2.83, 3 Na 3.11-3.12
Pd  0.7745  0.5491  0.7500  6 Hg 2.80-2.83, 3 Na 3.11-3.12

Computed properties:
Its formation energy is -0.216 eV/atom. As for the volume: 22.7 Å³ per atom.


[5]
Here is a relaxed NaHg2Pd crystal from the Alexandria database. Energies are from PBE.

a = 7.3512 Å, b = 7.3512 Å, c = 7.3512 Å
α = 45.96°, β = 141.51°, γ = 155.86°
Closest atoms and distances in Å follow each position.
Positions (direct):
Na  0.0000  0.0000  0.0000  4 Pd 2.87, 2 Na 3.07
Hg  0.0000  0.3018  0.3018  1 Pd 2.68
Hg  0.0000  0.6982  0.6982  1 Pd 2.68
Pd  0.0000  0.5000  0.5000  2 Hg 2.68, 4 Na 2.87

Computed properties:
Its formation energy is 0.009 eV/atom. As for the volume: 25.2 Å³ per atom.


[6]
Here is a relaxed NaPmHgPd crystal from the Alexandria database. Energies are from PBE.

a = 5.1035 Å, b = 5.1035 Å, c = 5.1035 Å
α = 60.00°, β = 60.00°, γ = 60.00°
Closest atoms and distances in Å follow each position.
Positions (direct):
Na  0.7500  0.7500  0.7500  4 Hg 3.13, 4 Pd 3.13
Hg  0.5000  0.5000  0.5000  4 Na 3.13, 4 Pm 3.13
Pd  0.0000  0.0000  0.0000  4 Pm 3.13, 4 Na 3.13
Pm  0.2500  0.2500  0.2500  4 Hg 3.13, 4 Pd 3.13

Computed properties:
Its formation energy is -0.382 eV/atom. As for the volume: 23.5 Å³ per atom.


[7]
Here is a relaxed NaPrHgPd crystal from the Alexandria database. Energies are from PBE.

a = 5.1568 Å, b = 5.1568 Å, c = 5.1568 Å
α = 60.00°, β = 60.00°, γ = 60.00°
Closest atoms and distances in Å follow each position.
Positions (direct):
Pr  0.5000  0.5000  0.5000  4 Pd 3.16, 4 Hg 3.16
Na  0.0000  0.0000  0.0000  4 Hg 3.16, 4 Pd 3.16
Hg  0.7500  0.7500  0.7500  4 Pr 3.16, 4 Na 3.16
Pd  0.2500  0.2500  0.2500  4 Na 3.16, 4 Pr 3.16

Computed properties:
Its formation energy is -0.376 eV/atom. As for the volume: 24.2 Å³ per atom.


[8]
Here is a relaxed Na2Hg5Pd2Pt crystal from the Alexandria database. Energies are from PBE.

a = 3.7129 Å, b = 10.8313 Å, c = 10.8313 Å
α = 90.00°, β = 90.00°, γ = 90.00°
Closest atoms and distances in Å follow each position.
Positions (direct):
Na  0.0000  0.6715  0.1715  3 Pd 3.01-3.32, 2 Hg 3.22
Na  0.0000  0.3285  0.8285  3 Pd 3.01-3.32, 2 Hg 3.22
Na  0.0000  0.1715  0.3285  3 Pd 3.01-3.32, 2 Hg 3.22
Na  0.0000  0.8285  0.6715  3 Pd 3.01-3.32, 2 Hg 3.22
Hg  0.5000  0.1906  0.0661  2 Pd 2.77, 2 Pt 2.87, 2 Hg 3.09
Hg  0.5000  0.8094  0.9339  2 Pd 2.77, 2 Pt 2.87, 2 Hg 3.09
Hg  0.5000  0.0661  0.8094  2 Pd 2.77, 2 Pt 2.87, 2 Hg 3.09
Hg  0.5000  0.6906  0.4339  2 Pd 2.77, 2 Pt 2.87, 2 Hg 3.09
Hg  0.5000  0.9339  0.1906  2 Pd 2.77, 2 Pt 2.87, 2 Hg 3.09
Hg  0.5000  0.3094  0.5661  2 Pd 2.77, 2 Pt 2.87, 2 Hg 3.09
Hg  0.5000  0.5661  0.6906  2 Pd 2.77, 2 Pt 2.87, 2 Hg 3.09
Hg  0.5000  0.4339  0.3094  2 Pd 2.77, 2 Pt 2.87, 2 Hg 3.09
Hg  0.5000  0.5000  0.0000  4 Pd 2.75
Hg  0.5000  0.0000  0.5000  4 Pd 2.75
Pd  0.0000  0.1321  0.6321  6 Hg 2.75-2.77, 1 Na 3.01
Pd  0.0000  0.8679  0.3679  6 Hg 2.75-2.77, 1 Na 3.01
Pd  0.0000  0.6321  0.8679  6 Hg 2.75-2.77, 1 Na 3.01
Pd  0.0000  0.3679  0.1321  6 Hg 2.75-2.77, 1 Na 3.01
Pt  0.0000  0.0000  0.0000  8 Hg 2.87
Pt  0.0000  0.5000  0.5000  8 Hg 2.87

Computed properties:
Its formation energy is -0.190 eV/atom. As for the volume: 21.8 Å³ per atom.


[9]
Here is a relaxed NaPuHgPd crystal from the Alexandria database. Energies are from PBE.

a = 5.1046 Å, b = 5.1046 Å, c = 5.1046 Å
α = 60.00°, β = 60.00°, γ = 60.00°
Closest atoms and distances in Å follow each position.
Positions (direct):
Na  0.2500  0.2500  0.2500  4 Hg 3.13, 4 Pd 3.13
Hg  0.5000  0.5000  0.5000  4 Pu 3.13, 4 Na 3.13
Pd  0.0000  0.0000  0.0000  4 Na 3.13, 4 Pu 3.13
Pu  0.7500  0.7500  0.7500  4 Hg 3.13, 4 Pd 3.13

Computed properties:
Its formation energy is -0.106 eV/atom. As for the volume: 23.5 Å³ per atom.


[10]
Here is a relaxed RbNaHg2Pd crystal from the Alexandria database. Energies are from PBE.

a = 5.4006 Å, b = 5.4006 Å, c = 6.0367 Å
α = 90.00°, β = 90.00°, γ = 90.00°
Closest atoms and distances in Å follow each position.
Positions (direct):
Na  0.5000  0.5000  0.5000  4 Rb 3.82, 8 Hg 4.05
Rb  0.0000  0.0000  0.5000  2 Pd 3.02
Hg  0.0000  0.5000  0.0000  2 Pd 2.70
Hg  0.5000  0.0000  0.0000  2 Pd 2.70
Pd  0.0000  0.0000  0.0000  4 Hg 2.70, 2 Rb 3.02

Computed properties:
Its formation energy is -0.037 eV/atom. The offset from the most stable computed form is 174 meV/atom. As for the volume: 35.2 Å³ per atom.


[11]
Here is a relaxed RbNaHg2Pd crystal from the Alexandria database. Energies are from PBE.

a = 5.4328 Å, b = 5.4328 Å, c = 5.4166 Å
α = 90.00°, β = 90.00°, γ = 90.00°
Closest atoms and distances in Å follow each position.
Positions (direct):
Na  0.0000  0.0000  0.5000  2 Pd 2.71
Rb  0.5000  0.5000  0.5000  8 Hg 3.84, 4 Na 3.84
Hg  0.0000  0.5000  0.0000  2 Pd 2.72
Hg  0.5000  0.0000  0.0000  2 Pd 2.72
Pd  0.0000  0.0000  0.0000  2 Na 2.71, 4 Hg 2.72

Computed properties:
Its formation energy is -0.212 eV/atom. The offset from the most stable computed form is 0 meV/atom. As for the volume: 32.0 Å³ per atom.


[12]
Here is a relaxed RbNaHgPd crystal from the Alexandria database. Energies are from PBE.

a = 4.8773 Å, b = 4.8773 Å, c = 6.8879 Å
α = 69.26°, β = 69.26°, γ = 60.00°
Closest atoms and distances in Å follow each position.
Positions (direct):
Rb  0.8178  0.8178  0.5466  4 Na 3.61-3.88, 3 Hg 3.74, 4 Pd 3.77-3.78
Na  0.0094  0.0094  0.9717  3 Pd 3.03, 3 Hg 3.04
Hg  0.2813  0.2813  0.1560  3 Pd 2.82, 3 Na 3.04
Pd  0.6173  0.6173  0.1481  3 Hg 2.82, 3 Na 3.03

Computed properties:
Its formation energy is -0.155 eV/atom. As for the volume: 32.4 Å³ per atom.